Entry from the Alexandria database: a relaxed TbCeMgRe crystal (GGA-PBE).

abc: 5.058 5.058 5.058
angles: 60.00 60.00 60.00
Fractional positions:
Ce1 0.750 0.750 0.750
Re1 0.500 0.500 0.500
Mg1 0.000 0.000 0.000
Tb1 0.250 0.250 0.250

Summary:
For the density of states at the Fermi level, the calculation gives 6.2 states/eV per cell. The calculation puts the energy at -6.02 eV/atom. The total magnetization is 0.0 μB per cell.

Entry from the Alexandria database: a relaxed CeThMgRe crystal (GGA-PBE).

abc: 5.139 5.139 5.139
angles: 60.00 60.00 60.00
Fractional positions:
Ce1 0.750 0.750 0.750
Re1 0.500 0.500 0.500
Mg1 0.000 0.000 0.000
Th1 0.250 0.250 0.250

Summary:
For the density of states at the Fermi level, the calculation gives 4.7 states/eV per cell. The calculation puts the energy at -6.69 eV/atom. The total magnetization is 0.0 μB per cell.